Entry 1:
{
  "formula": "TlAg2P",
  "functional": "PBE",
  "state": "relaxed",
  "m_tot_mub_per_fu": 0.000,
  "density_g_cm3": 9.42,
  "de_polymorph_mev_per_atom": 177,
  "delta_e_f_ev_per_atom": 0.36,
  "lattice": [[-1.497, 4.264, 2.602], [-4.254, -2.355, -1.883], [-0.227, -1.658, 2.587]],
  "species": ["Ag", "Ag", "P", "Tl"],
  "fractional_positions": [[0.000, 0.000, 0.000], [0.500, 0.500, 0.000], [0.500, 0.000, 0.500], [0.000, 0.500, 0.500]]
}


Entry 2:
{
  "formula": "TlAgP2",
  "functional": "PBE",
  "state": "relaxed",
  "m_tot_mub_per_fu": 0.000,
  "density_g_cm3": 7.05,
  "de_polymorph_mev_per_atom": 85,
  "delta_e_f_ev_per_atom": 0.21,
  "lattice": [[-0.359, 2.914, 1.282], [-3.663, 0.175, -1.425], [-4.504, -2.789, 5.078]],
  "species": ["Ag", "P", "P", "Tl"],
  "fractional_positions": [[0.500, 0.781, 0.812], [0.000, 0.192, 0.987], [0.500, 0.097, 0.200], [0.000, 0.430, 0.501]]
}


Entry 3:
{
  "formula": "TlAgP2",
  "functional": "PBE",
  "state": "relaxed",
  "m_tot_mub_per_fu": 0.000,
  "density_g_cm3": 7.80,
  "de_polymorph_mev_per_atom": 481,
  "delta_e_f_ev_per_atom": 0.61,
  "lattice": [[-1.058, 1.288, 3.327], [-2.708, -4.057, 0.709], [3.414, -1.957, 1.844]],
  "species": ["Ag", "P", "P", "Tl"],
  "fractional_positions": [[0.000, 0.500, 0.500], [0.000, 0.000, 0.000], [0.500, 0.500, 0.000], [0.500, 0.000, 0.500]]
}


Entry 4:
{
  "formula": "TlAg2P",
  "functional": "PBE",
  "state": "relaxed",
  "m_tot_mub_per_fu": 0.000,
  "density_g_cm3": 9.01,
  "de_polymorph_mev_per_atom": 140,
  "delta_e_f_ev_per_atom": 0.33,
  "lattice": [[5.645, 0.068, 0.173], [1.943, 5.301, -0.173], [-2.962, -3.861, 2.868]],
  "species": ["Ag", "Ag", "P", "Tl"],
  "fractional_positions": [[0.971, 0.971, 0.000], [0.529, 0.529, 0.000], [0.750, 0.250, 0.500], [0.250, 0.750, 0.500]]
}


Entry 5:
{
  "formula": "TlAgP2",
  "functional": "PBE",
  "state": "relaxed",
  "m_tot_mub_per_fu": 0.000,
  "density_g_cm3": 7.60,
  "de_polymorph_mev_per_atom": 439,
  "delta_e_f_ev_per_atom": 0.57,
  "lattice": [[9.542, -0.056, -0.033], [9.033, 3.077, -0.033], [9.033, 1.469, 2.704]],
  "species": ["Ag", "P", "P", "Tl"],
  "fractional_positions": [[0.750, 0.750, 0.750], [0.014, 0.014, 0.014], [0.486, 0.486, 0.486], [0.250, 0.250, 0.250]]
}


Entry 6:
{
  "formula": "TlAg2P",
  "functional": "PBE",
  "state": "relaxed",
  "m_tot_mub_per_fu": 0.000,
  "density_g_cm3": 9.26,
  "de_polymorph_mev_per_atom": 148,
  "delta_e_f_ev_per_atom": 0.33,
  "lattice": [[3.363, -3.485, -0.331], [-0.365, -3.406, -3.439], [3.108, -0.028, -3.729]],
  "species": ["P", "Tl", "Ag", "Ag"],
  "fractional_positions": [[0.000, 0.000, 0.000], [0.500, 0.500, 0.500], [0.250, 0.250, 0.250], [0.750, 0.750, 0.750]]
}


Entry 7:
{
  "formula": "Tl3AgP",
  "functional": "PBE",
  "state": "relaxed",
  "m_tot_mub_per_fu": 0.736,
  "density_g_cm3": 7.79,
  "de_polymorph_mev_per_atom": 107,
  "delta_e_f_ev_per_atom": 0.58,
  "lattice": [[-3.140, 2.552, 3.625], [-3.189, -4.386, 0.326], [3.080, -1.940, 4.033]],
  "species": ["P", "Tl", "Tl", "Tl", "Ag"],
  "fractional_positions": [[0.500, 0.500, 0.500], [0.000, 0.500, 0.000], [0.000, 0.000, 0.500], [0.500, 0.000, 0.000], [0.000, 0.000, 0.000]]
}


Entry 8:
{
  "formula": "TlAgP2",
  "functional": "PBE",
  "state": "relaxed",
  "m_tot_mub_per_fu": 0.000,
  "density_g_cm3": 6.99,
  "de_polymorph_mev_per_atom": 259,
  "delta_e_f_ev_per_atom": 0.39,
  "lattice": [[3.224, -0.006, 0.000], [-1.637, 2.777, 0.000], [0.000, 0.000, 9.942]],
  "species": ["Ag", "P", "P", "Tl"],
  "fractional_positions": [[0.500, 0.500, 0.781], [0.000, 0.000, 0.030], [0.500, 0.500, 0.179], [0.000, 0.000, 0.510]]
}


Entry 9:
{
  "formula": "TlAg2P",
  "functional": "PBE",
  "state": "relaxed",
  "m_tot_mub_per_fu": 0.000,
  "density_g_cm3": 9.19,
  "de_polymorph_mev_per_atom": 101,
  "delta_e_f_ev_per_atom": 0.29,
  "lattice": [[3.298, 0.011, 0.000], [-0.011, 3.298, 0.000], [0.000, 0.000, 7.497]],
  "species": ["Ag", "Ag", "P", "Tl"],
  "fractional_positions": [[0.000, 0.000, 0.052], [0.000, 0.000, 0.448], [0.500, 0.500, 0.250], [0.500, 0.500, 0.750]]
}


Entry 10:
{
  "formula": "TlAg2P",
  "functional": "PBE",
  "state": "relaxed",
  "m_tot_mub_per_fu": 0.000,
  "density_g_cm3": 9.14,
  "de_polymorph_mev_per_atom": 193,
  "delta_e_f_ev_per_atom": 0.38,
  "lattice": [[-2.690, 0.904, 4.897], [0.565, -5.507, -1.183], [1.902, -1.168, 2.250]],
  "species": ["Ag", "Ag", "P", "Tl"],
  "fractional_positions": [[0.000, 0.000, 0.000], [0.500, 0.500, 0.000], [0.500, 0.000, 0.500], [0.000, 0.500, 0.500]]
}


Entry 11:
{
  "formula": "TlAg2P",
  "functional": "PBE",
  "state": "relaxed",
  "m_tot_mub_per_fu": 0.000,
  "density_g_cm3": 9.01,
  "de_polymorph_mev_per_atom": 97,
  "delta_e_f_ev_per_atom": 0.28,
  "lattice": [[3.610, 0.000, 0.000], [0.000, 3.610, 0.000], [0.000, 0.000, 6.382]],
  "species": ["Ag", "Ag", "P", "Tl"],
  "fractional_positions": [[0.000, 0.000, 0.031], [0.500, 0.500, 0.291], [0.000, 0.000, 0.426], [0.500, 0.500, 0.752]]
}


Entry 12:
{
  "formula": "TlAgP2",
  "functional": "PBE",
  "state": "relaxed",
  "m_tot_mub_per_fu": 0.000,
  "density_g_cm3": 7.60,
  "de_polymorph_mev_per_atom": 401,
  "delta_e_f_ev_per_atom": 0.53,
  "lattice": [[-1.154, 1.381, 2.317], [-2.216, -1.922, 0.041], [4.979, -5.617, 5.829]],
  "species": ["Ag", "P", "P", "Tl"],
  "fractional_positions": [[0.500, 0.500, 0.750], [0.000, 0.000, 0.953], [0.000, 0.000, 0.547], [0.500, 0.500, 0.250]]
}